The following is a PBE-GGA calculation of AcTbZn4 after structural relaxation, from Alexandria.

Cell lengths 8.0021, 8.0021, 8.0021 Å; angles 90.00, 90.00, 90.00 degrees
Closest atoms and distances in Å follow each position.
Space group F-43m (No. 216)
Asymmetric unit:
1 Ac 0.0000 0.0000 0.0000 x4  12 Zn 3.32, 4 Tb 3.47
2 Tb 0.2500 0.2500 0.7500 x4  12 Zn 3.31, 4 Ac 3.47
3 Zn 0.1233 0.1233 0.3767 x16  6 Zn 2.79-2.87

excess energy over the best structure of this formula in the dataset	3	meV/atom
total magnetization	0.00	μB per atom
calculated formation energy	-0.269	eV per atom

---

The following is a PBE-GGA calculation of EuAs after structural relaxation, from Alexandria.

Cell lengths 4.1469, 4.4628, 6.1082 Å; angles 90.00, 109.88, 90.00 degrees
Closest atoms and distances in Å follow each position.
Space group P2_1/m (No. 11)
Asymmetric unit:
1 Eu 0.1266 0.2500 0.2512 x2  7 As 3.05-3.39
2 As 0.3908 0.2500 0.7846 x2  7 Eu 3.05-3.39, 2 As 3.33

total magnetization	3.36	μB per atom
calculated formation energy	-1.010	eV per atom

---

The following is a PBE-GGA calculation of SrPaS2 after structural relaxation, from Alexandria.

Cell lengths 3.9670, 3.9670, 20.8571 Å; angles 90.00, 90.00, 120.00 degrees
Closest atoms and distances in Å follow each position.
Space group R-3m (No. 166, hexagonal axes)
Asymmetric unit:
1 Sr 0.0000 0.0000 0.0000 x3  6 S 2.95
2 Pa 0.0000 0.0000 0.5000 x3  6 S 2.81
3 S 0.0000 0.0000 0.2443 x6  3 Pa 2.81, 3 Sr 2.95

DFT total energy	-0.482	Ry per atom
total magnetization	0.21	μB per atom

---

The following is a PBE-GGA calculation of Tb2CuSnS5 after structural relaxation, from Alexandria.

Cell lengths 3.8180, 16.4275, 11.6895 Å; angles 90.00, 90.00, 90.00 degrees
Closest atoms and distances in Å follow each position.
Space group Cmc2_1 (No. 36)
Asymmetric unit:
1 Tb 0.0000 0.1173 0.0000 x4  8 S 2.80-3.01
2 Tb 0.0000 0.1174 0.3813 x4  8 S 2.83-2.93
3 Cu 0.0000 0.4990 0.6863 x4  4 S 2.26-2.38
4 Sn 0.0000 0.1870 0.6959 x4  6 S 2.63-2.78
5 S 0.0000 0.0372 0.7748 x4  2 Cu 2.26
6 S 0.0000 0.2933 0.3606 x4  2 Sn 2.73, 3 Tb 2.90-2.91
7 S 0.0000 0.2970 0.0242 x4  2 Sn 2.78, 3 Tb 2.90-2.97, 2 S 3.08
8 S 0.0000 0.3539 0.6952 x4  1 Cu 2.38
9 S 0.0000 0.4924 0.9922 x4  1 Cu 2.27

DFT total energy	-0.401	Ry per atom
total magnetization	0.00	μB per atom

---

The following is a PBE-GGA calculation of FeSiRu after structural relaxation, from Alexandria.

Cell lengths 2.8540, 2.8540, 8.9835 Å; angles 90.00, 90.00, 90.00 degrees
Closest atoms and distances in Å follow each position.
Space group I4mm (No. 107)
Asymmetric unit:
1 Fe 0.0000 0.0000 0.0000 x2  4 Si 2.42, 4 Ru 2.63
2 Si 0.0000 0.0000 0.3510 x2  4 Fe 2.42, 4 Ru 2.49
3 Ru 0.0000 0.0000 0.6886 x2  4 Si 2.49, 4 Fe 2.63

DFT total energy	-0.589	Ry per atom
total magnetization	0.67	μB per atom

---

The following is a PBE-GGA calculation of Pm2InCuS5 after structural relaxation, from Alexandria.

Cell lengths 3.8891, 16.5066, 11.6096 Å; angles 90.00, 90.00, 90.00 degrees
Closest atoms and distances in Å follow each position.
Space group Cmc2_1 (No. 36)
Asymmetric unit:
1 Pm 0.0000 0.1117 0.0000 x4  8 S 2.89-3.04
2 Pm 0.0000 0.1211 0.6149 x4  8 S 2.84-3.04
3 In 0.0000 0.1919 0.3149 x4  6 S 2.57-2.71
4 Cu 0.0000 0.4995 0.2978 x4  4 S 2.27-2.41
5 S 0.0000 0.0429 0.3778 x4  2 Cu 2.27
6 S 0.0000 0.2889 0.9748 x4  2 In 2.71, 3 Pm 2.94
7 S 0.0000 0.2998 0.6571 x4  2 In 2.67, 1 Pm 2.99
8 S 0.0000 0.3536 0.3123 x4  1 Cu 2.41, 1 In 2.67
9 S 0.0000 0.4961 0.6017 x4  1 Cu 2.28

DFT total energy	-0.399	Ry per atom
total magnetization	0.00	μB per atom

---

The following is a PBE-GGA calculation of GdTlNi after structural relaxation, from Alexandria.

Cell lengths 4.5953, 4.5953, 3.6479 Å; angles 90.00, 90.00, 120.00 degrees
Closest atoms and distances in Å follow each position.
Space group P-6m2 (No. 187)
Asymmetric unit:
1 Gd 0.0000 0.0000 0.0000 x1  6 Ni 3.22, 6 Tl 3.22
2 Tl 0.6667 0.3333 0.5000 x1  3 Ni 2.65
3 Ni 0.3333 0.6667 0.5000 x1  3 Tl 2.65

total magnetization	2.35	μB per atom
calculated formation energy	-0.239	eV per atom

---

The following is a PBE-GGA calculation of InCuSi after structural relaxation, from Alexandria.

Cell lengths 3.6541, 4.2414, 8.1894 Å; angles 79.70, 89.63, 64.82 degrees
Closest atoms and distances in Å follow each position.
Space group P1 (No. 1)
Asymmetric unit:
1 In 0.0000 0.0000 0.0000 x1  3 Si 2.88-3.02, 2 Cu 3.06-3.09, 1 In 3.20
2 In 0.3762 0.2620 0.2758 x1  3 Cu 2.80-2.91, 2 Si 3.04-3.06
3 Cu 0.3490 0.3009 0.7041 x1  4 Si 2.35-2.47
4 Cu 0.7319 0.5446 0.4749 x1  4 Si 2.39-2.61, 2 Cu 2.66
5 Si 0.0478 0.9128 0.5587 x1  4 Cu 2.39-2.49, 2 Si 2.58-2.59
6 Si 0.6610 0.6779 0.7757 x1  4 Cu 2.35-2.61, 2 Si 2.58-2.59

DFT total energy	-0.290	Ry per atom
total magnetization	0.00	μB per atom

---

The following is a PBE-GGA calculation of Sr2In4Ag3Pb after structural relaxation, from Alexandria.

Cell lengths 4.7133, 4.7133, 12.3453 Å; angles 90.00, 90.00, 90.00 degrees
Closest atoms and distances in Å follow each position.
Space group P-4m2 (No. 115)
Asymmetric unit:
1 Sr 0.0000 0.5000 0.2395 x2  6 Ag 3.59-3.99, 8 In 3.61-3.78, 2 Pb 3.99
2 In 0.0000 0.0000 0.0000 x1  4 Ag 2.86
3 In 0.0000 0.5000 0.6481 x2  3 Ag 2.72-2.98, 2 Pb 2.98
4 In 0.5000 0.5000 0.0000 x1  4 Ag 2.86
5 Ag 0.0000 0.5000 0.8687 x2  5 In 2.72-2.86
6 Ag 0.5000 0.5000 0.5000 x1  4 In 2.98, 4 Pb 3.33
7 Pb 0.0000 0.0000 0.5000 x1  4 In 2.98, 4 Ag 3.33

total magnetization	0.00	μB per atom
calculated formation energy	-0.259	eV per atom

---

The following is a PBE-GGA calculation of Ca2MoRu after structural relaxation, from Alexandria.

Cell lengths 7.2000, 4.1531, 8.2016 Å; angles 90.00, 106.70, 90.00 degrees
Closest atoms and distances in Å follow each position.
Space group Cm (No. 8)
Asymmetric unit:
1 Ca 0.0000 0.0000 0.0000 x2  3 Mo 3.13, 3 Ru 3.35-3.36
2 Ca 0.1797 0.0000 0.5473 x2  3 Ru 3.09, 3 Mo 3.31-3.32
3 Mo 0.2508 0.5000 0.2562 x2  3 Ru 2.42
4 Ru 0.4315 0.0000 0.2986 x2  3 Mo 2.42

excess energy over the best structure of this formula in the dataset	5	meV/atom
total magnetization	0.00	μB per atom
calculated formation energy	0.228	eV per atom

---

The following is a PBE-GGA calculation of RbCa4Fe2 after structural relaxation, from Alexandria.

Cell lengths 5.9735, 5.9735, 14.6974 Å; angles 90.00, 90.00, 90.00 degrees
Closest atoms and distances in Å follow each position.
Space group I4/mmm (No. 139)
Asymmetric unit:
1 Rb 0.0000 0.0000 0.0000 x2  4 Ca 2.99
2 Ca 0.0000 0.0000 0.2453 x4  1 Fe 2.72
3 Ca 0.0000 0.5000 0.0000 x4  2 Rb 2.99, 4 Fe 3.16
4 Fe 0.0000 0.0000 0.4305 x4  1 Fe 2.04

total magnetization	0.56	μB per atom
calculated formation energy	0.880	eV per atom

---

The following is a PBE-GGA calculation of BeGaMo3 after structural relaxation, from Alexandria.

Cell lengths 4.2356, 4.2356, 4.2356 Å; angles 90.00, 90.00, 90.00 degrees
Closest atoms and distances in Å follow each position.
Space group Pm-3m (No. 221)
Asymmetric unit:
1 Be 0.0000 0.0000 0.0000 x1  6 Mo 2.12
2 Ga 0.5000 0.5000 0.5000 x1  12 Mo 3.00
3 Mo 0.0000 0.0000 0.5000 x3  2 Be 2.12

excess energy over the best structure of this formula in the dataset	0	meV/atom
total magnetization	0.00	μB per atom
calculated formation energy	0.640	eV per atom